Record 1
Re2NiHg: optimized geometry, PBE-GGA.

Geometry as POSCAR:
```
Re2NiHg
1.0
5.774 0.017 -0.012
5.115 2.679 -0.012
1.714 0.424 4.073
Hg Ni Re
1 1 2
direct
0.750 0.750 0.750
0.250 0.250 0.250
0.961 0.961 0.039
0.539 0.539 0.461
```

Properties
Raw total energy: -7.28 eV/atom

Record 2
GaPd4Au2: optimized geometry, PBE-GGA.

Geometry as POSCAR:
```
GaPd4Au2
1.0
6.282 0.354 2.526
-3.518 5.537 1.716
-0.225 0.354 6.767
Ga Pd Au
2 8 4
direct
0.500 0.250 0.250
0.000 0.000 0.000
0.105 0.206 0.532
0.895 0.362 0.899
0.395 0.351 0.888
0.762 0.044 0.351
0.262 0.899 0.206
0.605 0.718 0.044
0.738 0.532 0.362
0.238 0.888 0.718
0.638 0.125 0.737
0.362 0.625 0.513
0.862 0.737 0.625
0.138 0.513 0.125
```

Properties
Raw total energy: -4.48 eV/atom